Record 1
# CaPmRu4

An optimized crystal structure of CaPmRu4 (PBE, Alexandria via LeMat-Bulk).

Values from the calculation:
space group	F-43m
ΔE_f	-38	meV per atom
magnetic moment	0.0	Bohr magnetons per cell

The structure in POSCAR format:
```
CaPmRu4
1.0
5.3782 0.0000 0.0000
2.6891 4.6576 0.0000
2.6891 1.5525 4.3913
Ru Ca Pm
4 1 1
direct
0.6251 0.6251 0.1247
0.6251 0.1247 0.6251
0.6251 0.6251 0.6251
0.1247 0.6251 0.6251
0.0000 0.0000 0.0000
0.2500 0.2500 0.2500
```

=====

Record 2
# LiHoLuRh

An optimized crystal structure of LiHoLuRh (PBE, Alexandria via LeMat-Bulk).

Values from the calculation:
space group	F-43m
ΔE_f	-531	meV per atom
magnetic moment	0.0	Bohr magnetons per cell

The structure in POSCAR format:
```
LiHoLuRh
1.0
-4.7377 0.9230 -0.6136
-3.0432 -3.5992 -1.2078
-3.2376 -1.6390 3.2412
Lu Rh Ho Li
1 1 1 1
direct
0.7500 0.7500 0.7500
0.5000 0.5000 0.5000
0.2500 0.2500 0.2500
0.0000 0.0000 0.0000
```

=====

Record 3
# KSc2Ni

An optimized crystal structure of KSc2Ni (PBE, Alexandria via LeMat-Bulk).

Values from the calculation:
space group	Immm
ΔE_f	319	meV per atom
magnetic moment	0.0	Bohr magnetons per cell
distance to the lowest polymorph of the same formula	266	meV/atom

The structure in POSCAR format:
```
KSc2Ni
1.0
6.3400 -0.0141 -0.0100
2.6611 5.7545 0.0100
-3.5257 -4.3988 2.9010
K Ni Sc
1 1 2
direct
0.7500 0.2500 0.5000
0.2500 0.7500 0.5000
0.0720 0.0720 0.0000
0.4280 0.4280 0.0000
```

=====

Record 4
# KTlCdF4

An optimized crystal structure of KTlCdF4 (PBE, Alexandria via LeMat-Bulk).

Values from the calculation:
space group	I4mm
uncorrected formation energy	-2.24	eV per atom
magnetic moment	0.0	Bohr magnetons per cell

The structure in POSCAR format:
```
KTlCdF4
1.0
-0.2477 -2.0171 3.9781
4.4469 -0.4194 0.0643
-1.5720 7.2881 1.0894
K Tl Cd F
1 1 1 4
direct
0.3593 0.3593 0.7186
0.6534 0.6534 0.3068
0.0023 0.0023 0.0047
0.9914 0.4914 0.9828
0.4914 0.9914 0.9828
0.8355 0.8355 0.6711
0.1667 0.1667 0.3334
```

=====

Record 5
# Tb3Ho6Tm2Pb

An optimized crystal structure of Tb3Ho6Tm2Pb (PBE, Alexandria via LeMat-Bulk).

Values from the calculation:
space group	C2/m
ΔE_f	-43	meV per atom
magnetic moment	0.0	Bohr magnetons per cell

The structure in POSCAR format:
```
Tb3Ho6Tm2Pb
1.0
-3.8572 -0.3729 4.6862
4.1506 -4.3563 -0.8790
7.2919 7.3134 5.2578
Tb Ho Tm Pb
3 6 2 1
direct
0.1673 0.8327 0.5000
0.8327 0.1673 0.5000
0.5000 0.5000 0.5000
0.9186 0.5888 0.7535
0.7518 0.7518 0.2485
0.0814 0.4112 0.2465
0.5888 0.9186 0.7535
0.2482 0.2482 0.7515
0.4112 0.0814 0.2465
0.3343 0.6657 0.0000
0.6657 0.3343 0.0000
0.0000 0.0000 0.0000
```

=====

Record 6
# MnTc2Te

An optimized crystal structure of MnTc2Te (PBE, Alexandria via LeMat-Bulk).

Values from the calculation:
space group	R-3m
uncorrected formation energy	0.50	eV per atom
magnetic moment	1.6	Bohr magnetons per cell

The structure in POSCAR format:
```
MnTc2Te
1.0
8.4505 -0.0251 -0.0148
7.9243 2.9355 -0.0148
7.9243 1.4084 2.5756
Mn Tc Te
1 2 1
direct
0.7500 0.7500 0.7500
0.0051 0.0051 0.0051
0.4949 0.4949 0.4949
0.2500 0.2500 0.2500
```

=====

Record 7
# YFe2Au2

An optimized crystal structure of YFe2Au2 (PBE, Alexandria via LeMat-Bulk).

Values from the calculation:
space group	I4/mmm
ΔE_f	-137	meV per atom
magnetic moment	5.5	Bohr magnetons per cell

The structure in POSCAR format:
```
YFe2Au2
1.0
-2.2735 -1.2420 -2.7550
2.9545 -1.6382 -1.6996
-0.7611 -6.9445 1.1632
Y Au Fe
1 2 2
direct
0.0000 0.0000 0.0000
0.3928 0.3928 0.2144
0.6072 0.6072 0.7856
0.7500 0.2500 0.5000
0.2500 0.7500 0.5000
```

=====

Record 8
# KMg4Hg

An optimized crystal structure of KMg4Hg (PBE, Alexandria via LeMat-Bulk).

Values from the calculation:
space group	F-43m
ΔE_f	107	meV per atom
magnetic moment	0.0	Bohr magnetons per cell

The structure in POSCAR format:
```
KMg4Hg
1.0
-4.2330 -4.0055 -2.0880
-5.7880 1.9035 -1.0942
-2.0675 0.4345 -5.8188
K Mg Hg
1 4 1
direct
0.0000 0.0000 0.0000
0.8726 0.3758 0.3758
0.3758 0.3758 0.8726
0.3758 0.8726 0.3758
0.3758 0.3758 0.3758
0.7500 0.7500 0.7500
```

=====

Record 9
# ScP2Pd7

An optimized crystal structure of ScP2Pd7 (PBE, Alexandria via LeMat-Bulk).

Values from the calculation:
space group	I4/mmm
ΔE_f	-659	meV per atom
magnetic moment	0.0	Bohr magnetons per cell

The structure in POSCAR format:
```
ScP2Pd7
1.0
3.9328 0.0000 -0.7567
-0.1456 3.9301 -0.7567
-0.0760 -0.0789 10.2027
Sc P Pd
1 2 7
direct
0.0000 0.0000 0.0000
0.6733 0.6733 0.3466
0.3267 0.3267 0.6534
0.1047 0.6047 0.2095
0.3953 0.8953 0.7905
0.6047 0.1047 0.2095
0.5000 0.5000 0.0000
0.7500 0.2500 0.5000
0.8953 0.3953 0.7905
0.2500 0.7500 0.5000
```

=====

Record 10
# K3Pm3ErSe8

An optimized crystal structure of K3Pm3ErSe8 (PBE, Alexandria via LeMat-Bulk).

Values from the calculation:
space group	C2/m
uncorrected formation energy	-1.67	eV per atom
magnetic moment	0.0	Bohr magnetons per cell

The structure in POSCAR format:
```
K3Pm3ErSe8
1.0
8.4902 0.0005 -0.0001
-4.2447 7.3594 -0.0298
-0.0003 -4.8783 7.8661
K Pm Er Se
3 3 1 8
direct
0.0000 0.0000 0.0000
0.0000 0.5000 0.0000
0.5000 0.5000 0.0000
0.5000 0.0000 0.5000
0.5000 0.5000 0.5000
0.0000 0.5000 0.5000
0.0000 0.0000 0.5000
0.2631 0.5262 0.2894
0.7369 0.4738 0.7106
0.7700 0.5400 0.2972
0.2300 0.4600 0.7028
0.7700 0.0271 0.2971
0.2300 0.9729 0.7029
0.2571 0.0271 0.2971
0.7429 0.9729 0.7029
```

=====

Record 11
# Ba2NiSe2

An optimized crystal structure of Ba2NiSe2 (PBE, Alexandria via LeMat-Bulk).

Values from the calculation:
space group	P4/mbm
uncorrected formation energy	-0.95	eV per atom
magnetic moment	0.8	Bohr magnetons per cell
distance to the lowest polymorph of the same formula	174	meV/atom

The structure in POSCAR format:
```
Ba2NiSe2
1.0
-5.6718 -2.6216 -5.4101
5.9596 -3.4302 -4.5856
-0.4232 -3.7715 2.2712
Ni Ba Se
2 4 4
direct
0.0000 0.0000 0.0000
0.5000 0.5000 0.0000
0.1536 0.6536 0.5000
0.6536 0.8464 0.5000
0.8464 0.3464 0.5000
0.3464 0.1536 0.5000
0.3387 0.8387 0.0000
0.8387 0.6613 0.0000
0.6613 0.1613 0.0000
0.1613 0.3387 0.0000
```

=====

Record 12
# AcInGePt3

An optimized crystal structure of AcInGePt3 (PBE, Alexandria via LeMat-Bulk).

Values from the calculation:
space group	Cmcm
ΔE_f	-670	meV per atom
magnetic moment	0.0	Bohr magnetons per cell

The structure in POSCAR format:
```
AcInGePt3
1.0
-0.0495 -1.1757 5.8396
5.2542 -2.4333 -0.4453
0.9196 8.5977 1.7387
Ac In Ge Pt
2 2 2 6
direct
0.7500 0.2968 0.5937
0.2500 0.7032 0.4063
0.2500 0.3949 0.7898
0.7500 0.6051 0.2102
0.2500 0.0852 0.1704
0.7500 0.9148 0.8296
0.2500 0.2340 0.4679
0.0000 0.2493 0.0000
0.5000 0.7507 0.0000
0.5000 0.2493 0.0000
0.0000 0.7507 0.0000
0.7500 0.7660 0.5321
```

=====

What is the magnetic moment in the third record? 0.0 Bohr magnetons per cell